# 1
This record from Alexandria describes crystalline AcPrPuMg at its relaxed geometry. The functional is GGA-PBE.

## Properties
Volume = 33.38 Å³ per atom
Calculated total energy = -24.13 eV for the cell shown

```
data_AcPrPuMg
_chemical_formula_sum 'Ac1 Pr1 Pu1 Mg1'
_cell_length_a 5.7372
_cell_length_b 5.7372
_cell_length_c 5.7372
_cell_angle_alpha 60.00
_cell_angle_beta 60.00
_cell_angle_gamma 60.00
_space_group_name_H-M_alt 'P 1'
_space_group_IT_number 1
loop_
_space_group_symop_operation_xyz
'x,y,z'
loop_
_atom_site_label
_atom_site_type_symbol
_atom_site_fract_x
_atom_site_fract_y
_atom_site_fract_z
_atom_site_occupancy
Pr1 Pr 0.0000 0.0000 0.0000 1
Ac1 Ac 0.5000 0.5000 0.5000 1
Mg1 Mg 0.7500 0.7500 0.7500 1
Pu1 Pu 0.2500 0.2500 0.2500 1
```



# 2
This record from Alexandria describes crystalline AcPrMgRh at its relaxed geometry. The functional is GGA-PBE.

## Properties
Volume = 27.53 Å³ per atom
Calculated total energy = -18.73 eV for the cell shown

```
data_AcPrMgRh
_chemical_formula_sum 'Ac1 Pr1 Mg1 Rh1'
_cell_length_a 5.3802
_cell_length_b 5.3802
_cell_length_c 5.3802
_cell_angle_alpha 60.00
_cell_angle_beta 60.00
_cell_angle_gamma 60.00
_space_group_name_H-M_alt 'P 1'
_space_group_IT_number 1
loop_
_space_group_symop_operation_xyz
'x,y,z'
loop_
_atom_site_label
_atom_site_type_symbol
_atom_site_fract_x
_atom_site_fract_y
_atom_site_fract_z
_atom_site_occupancy
Pr1 Pr 0.5000 0.5000 0.5000 1
Ac1 Ac 0.0000 0.0000 0.0000 1
Rh1 Rh 0.2500 0.2500 0.2500 1
Mg1 Mg 0.7500 0.7500 0.7500 1
```



# 3
This record from Alexandria describes crystalline AcPrMgSb at its relaxed geometry. The functional is GGA-PBE.

## Properties
Volume = 31.91 Å³ per atom
Energy relative to the elements, uncorrected = -0.4328 eV per atom

```
data_AcPrMgSb
_chemical_formula_sum 'Ac1 Pr1 Mg1 Sb1'
_cell_length_a 5.6517
_cell_length_b 5.6517
_cell_length_c 5.6517
_cell_angle_alpha 60.00
_cell_angle_beta 60.00
_cell_angle_gamma 60.00
_space_group_name_H-M_alt 'P 1'
_space_group_IT_number 1
loop_
_space_group_symop_operation_xyz
'x,y,z'
loop_
_atom_site_label
_atom_site_type_symbol
_atom_site_fract_x
_atom_site_fract_y
_atom_site_fract_z
_atom_site_occupancy
Pr1 Pr 0.7500 0.7500 0.7500 1
Sb1 Sb 0.0000 0.0000 0.0000 1
Ac1 Ac 0.2500 0.2500 0.2500 1
Mg1 Mg 0.5000 0.5000 0.5000 1
```



# 4
This record from Alexandria describes crystalline AcPrMgSc at its relaxed geometry. The functional is GGA-PBE.

## Properties
Volume = 32.13 Å³ per atom
Calculated total energy = -16.66 eV for the cell shown

```
data_AcPrMgSc
_chemical_formula_sum 'Ac1 Pr1 Mg1 Sc1'
_cell_length_a 5.6645
_cell_length_b 5.6645
_cell_length_c 5.6645
_cell_angle_alpha 60.00
_cell_angle_beta 60.00
_cell_angle_gamma 60.00
_space_group_name_H-M_alt 'P 1'
_space_group_IT_number 1
loop_
_space_group_symop_operation_xyz
'x,y,z'
loop_
_atom_site_label
_atom_site_type_symbol
_atom_site_fract_x
_atom_site_fract_y
_atom_site_fract_z
_atom_site_occupancy
Pr1 Pr 0.0000 0.0000 0.0000 1
Sc1 Sc 0.7500 0.7500 0.7500 1
Ac1 Ac 0.5000 0.5000 0.5000 1
Mg1 Mg 0.2500 0.2500 0.2500 1
```



# 5
This record from Alexandria describes crystalline Ac3Pr3MgSe8 at its relaxed geometry. The functional is GGA-PBE.

## Properties
Volume = 30.63 Å³ per atom
Energy relative to the elements, uncorrected = -1.7984 eV per atom

```
data_Ac3Pr3MgSe8
_chemical_formula_sum 'Ac3 Pr3 Mg1 Se8'
_cell_length_a 8.6143
_cell_length_b 8.6143
_cell_length_c 8.7091
_cell_angle_alpha 119.64
_cell_angle_beta 90.00
_cell_angle_gamma 120.00
_space_group_name_H-M_alt 'P 1'
_space_group_IT_number 1
loop_
_space_group_symop_operation_xyz
'x,y,z'
loop_
_atom_site_label
_atom_site_type_symbol
_atom_site_fract_x
_atom_site_fract_y
_atom_site_fract_z
_atom_site_occupancy
Ac1 Ac 0.0000 0.0000 0.0000 1
Ac2 Ac 0.0000 0.5000 0.0000 1
Ac3 Ac 0.5000 0.5000 0.0000 1
Pr1 Pr 0.5000 0.0000 0.5000 1
Pr2 Pr 0.5000 0.5000 0.5000 1
Pr3 Pr 0.0000 0.5000 0.5000 1
Mg1 Mg 0.0000 0.0000 0.5000 1
Se1 Se 0.2539 0.5077 0.2616 1
Se2 Se 0.7461 0.4923 0.7384 1
Se3 Se 0.7661 0.5323 0.2732 1
Se4 Se 0.2339 0.4677 0.7268 1
Se5 Se 0.7661 0.0071 0.2731 1
Se6 Se 0.2339 0.9929 0.7269 1
Se7 Se 0.2410 0.0071 0.2731 1
Se8 Se 0.7590 0.9929 0.7269 1
```



# 6
This record from Alexandria describes crystalline AcPrMgSn at its relaxed geometry. The functional is GGA-PBE.

## Properties
Volume = 31.72 Å³ per atom
Calculated total energy = -16.00 eV for the cell shown

```
data_AcPrMgSn
_chemical_formula_sum 'Ac1 Pr1 Mg1 Sn1'
_cell_length_a 5.6405
_cell_length_b 5.6405
_cell_length_c 5.6405
_cell_angle_alpha 60.00
_cell_angle_beta 60.00
_cell_angle_gamma 60.00
_space_group_name_H-M_alt 'P 1'
_space_group_IT_number 1
loop_
_space_group_symop_operation_xyz
'x,y,z'
loop_
_atom_site_label
_atom_site_type_symbol
_atom_site_fract_x
_atom_site_fract_y
_atom_site_fract_z
_atom_site_occupancy
Pr1 Pr 0.5000 0.5000 0.5000 1
Ac1 Ac 0.0000 0.0000 0.0000 1
Mg1 Mg 0.7500 0.7500 0.7500 1
Sn1 Sn 0.2500 0.2500 0.2500 1
```